A plane-wave DFT calculation with PBE was carried out for a relaxed LaYHoIn crystal.

Properties
* V: 29.44 A^3/atom
* E_form: -0.096 eV per atom
* D(E_F): 1.84 states/eV/atom

a = 5.502 Å, b = 5.502 Å, c = 5.502 Å
α = 120.00°, β = 120.00°, γ = 90.00°
Sites, in units of the cell vectors:
Ho 0.750 0.250 0.500
La 0.000 0.000 0.000
In 0.500 0.500 0.000
Y 0.250 0.750 0.500